First-principles (PBE) data for a relaxed Cd2AsCl crystal, as listed in Alexandria.

Summary:
The calculation puts the energy above the lowest structure with this stoichiometry at 613 meV/atom.

The structure in POSCAR format:
```
Cd2AsCl
1.0
0.000 3.539 3.539
3.539 0.000 3.539
3.539 3.539 0.000
Cd As Cl
2 1 1
direct
0.000 0.000 0.000
0.250 0.250 0.250
0.500 0.500 0.500
0.750 0.750 0.750
```

First-principles (PBE) data for a relaxed Cd2AsCl crystal, as listed in Alexandria.

Summary:
The calculation puts the energy above the lowest structure with this stoichiometry at 425 meV/atom.

The structure in POSCAR format:
```
Cd2AsCl
1.0
3.201 0.000 0.000
0.000 3.201 0.000
0.000 0.000 9.368
Cd As Cl
2 1 1
direct
0.000 0.000 0.000
0.500 0.500 0.247
0.500 0.500 0.791
0.000 0.000 0.423
```

First-principles (PBE) data for a relaxed Cd4AsCl crystal, as listed in Alexandria.

The structure in POSCAR format:
```
Cd4AsCl
1.0
0.000 4.122 4.122
4.122 0.000 4.122
4.122 4.122 0.000
Cd As Cl
4 1 1
direct
0.125 0.125 0.125
0.125 0.125 0.624
0.125 0.624 0.125
0.624 0.125 0.125
0.500 0.500 0.500
0.750 0.750 0.750
```

First-principles (PBE) data for a relaxed CdAs2Cl crystal, as listed in Alexandria.

Summary:
The calculation puts the energy above the lowest structure with this stoichiometry at 5 meV/atom.

The structure in POSCAR format:
```
CdAs2Cl
1.0
3.270 -1.870 0.000
3.270 1.870 0.000
-2.152 0.000 8.438
Cd As Cl
1 2 1
direct
0.000 0.000 0.000
0.462 0.462 0.409
0.739 0.739 0.246
0.272 0.272 0.814
```

First-principles (PBE) data for a relaxed Cd2AsCl2 crystal, as listed in Alexandria.

Summary:
The calculation puts the energy above the lowest structure with this stoichiometry at 426 meV/atom.

The structure in POSCAR format:
```
Cd2AsCl2
1.0
7.773 0.000 0.000
0.000 7.773 0.000
0.000 0.000 4.794
Cd As Cl
4 2 4
direct
0.244 0.256 0.000
0.256 0.756 0.000
0.744 0.244 0.000
0.756 0.744 0.000
0.000 0.000 0.000
0.500 0.500 0.000
0.150 0.350 0.500
0.350 0.850 0.500
0.650 0.150 0.500
0.850 0.650 0.500
```

First-principles (PBE) data for a relaxed Cd3AsCl crystal, as listed in Alexandria.

Summary:
The calculation puts the energy above the lowest structure with this stoichiometry at 674 meV/atom.

The structure in POSCAR format:
```
Cd3AsCl
1.0
5.259 0.000 0.000
0.000 5.259 0.000
0.000 0.000 5.259
Cd As Cl
3 1 1
direct
0.000 0.000 0.500
0.000 0.500 0.000
0.500 0.000 0.000
0.500 0.500 0.500
0.000 0.000 0.000
```

First-principles (PBE) data for a relaxed CdAs3Cl crystal, as listed in Alexandria.

Summary:
The calculation puts the energy above the lowest structure with this stoichiometry at 13 meV/atom.

The structure in POSCAR format:
```
CdAs3Cl
1.0
5.206 0.000 0.000
0.000 5.206 0.000
0.000 0.000 5.206
Cd As Cl
1 3 1
direct
0.000 0.000 0.000
0.000 0.000 0.500
0.000 0.500 0.000
0.500 0.000 0.000
0.500 0.500 0.500
```

First-principles (PBE) data for a relaxed CdAs2Cl8 crystal, as listed in Alexandria.

Summary:
The calculation puts the energy above the lowest structure with this stoichiometry at 43 meV/atom.

The structure in POSCAR format:
```
CdAs2Cl8
1.0
6.608 -4.500 0.000
6.608 4.500 0.000
-3.451 0.000 7.430
Cd As Cl
1 2 8
direct
0.000 0.000 0.000
0.159 0.159 0.652
0.841 0.841 0.348
0.074 0.698 0.214
0.170 0.170 0.255
0.302 0.926 0.786
0.341 0.341 0.807
0.659 0.659 0.193
0.698 0.074 0.214
0.830 0.830 0.745
0.926 0.302 0.786
```

First-principles (PBE) data for a relaxed Cd2AsCl crystal, as listed in Alexandria.

Summary:
The calculation puts the energy above the lowest structure with this stoichiometry at 240 meV/atom.

The structure in POSCAR format:
```
Cd2AsCl
1.0
3.468 0.000 0.000
0.000 3.739 0.000
-0.008 0.000 7.314
Cd As Cl
2 1 1
direct
0.002 0.000 0.210
0.998 0.000 0.790
0.500 0.500 0.000
0.000 0.500 0.500
```

First-principles (PBE) data for a relaxed CdAs2Cl crystal, as listed in Alexandria.

Summary:
The calculation puts the energy above the lowest structure with this stoichiometry at 547 meV/atom.

The structure in POSCAR format:
```
CdAs2Cl
1.0
3.277 0.000 0.000
0.000 3.277 0.000
0.000 0.000 7.868
Cd As Cl
1 2 1
direct
0.000 0.000 0.000
0.500 0.500 0.232
0.500 0.500 0.768
0.000 0.000 0.500
```

First-principles (PBE) data for a relaxed Cd2AsCl2 crystal, as listed in Alexandria.

Summary:
The calculation puts the energy above the lowest structure with this stoichiometry at 589 meV/atom.

The structure in POSCAR format:
```
Cd2AsCl2
1.0
-2.245 2.245 6.051
2.245 -2.245 6.051
2.245 2.245 -6.051
Cd As Cl
2 1 2
direct
0.115 0.115 0.000
0.885 0.885 0.000
0.500 0.500 0.000
0.250 0.750 0.500
0.750 0.250 0.500
```

First-principles (PBE) data for a relaxed CdAsCl3 crystal, as listed in Alexandria.

Summary:
The calculation puts the energy above the lowest structure with this stoichiometry at 169 meV/atom.

The structure in POSCAR format:
```
CdAsCl3
1.0
5.191 0.000 0.000
0.000 5.191 0.000
0.000 0.000 5.191
Cd As Cl
1 1 3
direct
0.000 0.000 0.000
0.500 0.500 0.500
0.000 0.000 0.500
0.000 0.500 0.000
0.500 0.000 0.000
```

no.,uncorrected formation energy (meV/atom),Fermi-level density of states (states/eV per atom)
1,161.1,0.806
2,-27.2,0.562
3,70.7,0.263
4,-268.0,0.734
5,-273.6,0.037
6,499.1,0.424
7,980.4,1.319
8,-733.2,0.000
9,-212.0,0.179
10,274.2,0.546
11,-111.1,0.358
12,-108.5,1.506